LiTiGa2 after structural relaxation, computed with PBE-GGA.

Computed properties:
Distance to the lowest polymorph of the same formula ... 135 meV per atom
DFT formation energy ... -0.261 eV/atom

Structure (CIF):
```
data_LiTiGa2
_space_group_name_H-M_alt 'F m -3 m'
_space_group_IT_number 225
_space_group_name_Hall '-F 4 2 3'
_cell_length_a 6.300
_cell_length_b 6.300
_cell_length_c 6.300
_cell_angle_alpha 90.00
_cell_angle_beta 90.00
_cell_angle_gamma 90.00
loop_
_atom_site_label
_atom_site_fract_x
_atom_site_fract_y
_atom_site_fract_z
Li1 0.000 0.000 0.000
Ti1 0.000 0.000 0.500
Ga1 0.250 0.250 0.250
```

***

LaMgSn2Pd after structural relaxation, computed with PBE-GGA.

Computed properties:
Distance to the lowest polymorph of the same formula ... 439 meV per atom
DFT formation energy ... -0.227 eV/atom

Structure (CIF):
```
data_LaMgSn2Pd
_space_group_name_H-M_alt 'P 4/m m m'
_space_group_IT_number 123
_space_group_name_Hall '-P 4 2'
_cell_length_a 5.253
_cell_length_b 5.253
_cell_length_c 5.375
_cell_angle_alpha 90.00
_cell_angle_beta 90.00
_cell_angle_gamma 90.00
loop_
_atom_site_label
_atom_site_fract_x
_atom_site_fract_y
_atom_site_fract_z
La1 0.000 0.000 0.000
Mg1 0.500 0.500 0.000
Sn1 0.000 0.500 0.500
Pd1 0.000 0.000 0.500
```

***

Rb3Pa2InO9 after structural relaxation, computed with PBE-GGA.

Computed properties:
Raw formation energy ... -2.389 eV per atom

Structure (CIF):
```
data_Rb3Pa2InO9
_space_group_name_H-M_alt 'P -3 m 1'
_space_group_IT_number 164
_space_group_name_Hall '-P 3 2"'
_cell_length_a 6.1911
_cell_length_b 6.1911
_cell_length_c 7.5323
_cell_angle_alpha 90.00
_cell_angle_beta 90.00
_cell_angle_gamma 120.00
loop_
_atom_site_label
_atom_site_fract_x
_atom_site_fract_y
_atom_site_fract_z
Rb1 0.0000 0.0000 0.0000
Rb2 0.3333 0.6667 0.6631
Pa1 0.3333 0.6667 0.1746
In1 0.0000 0.0000 0.5000
O1 0.0000 0.5000 0.0000
O2 0.1693 0.3386 0.3317
```

***

Copy entry 3 word for word.
Rb3Pa2InO9 after structural relaxation, computed with PBE-GGA.

Computed properties:
Raw formation energy ... -2.389 eV per atom

Structure (CIF):
```
data_Rb3Pa2InO9
_space_group_name_H-M_alt 'P -3 m 1'
_space_group_IT_number 164
_space_group_name_Hall '-P 3 2"'
_cell_length_a 6.1911
_cell_length_b 6.1911
_cell_length_c 7.5323
_cell_angle_alpha 90.00
_cell_angle_beta 90.00
_cell_angle_gamma 120.00
loop_
_atom_site_label
_atom_site_fract_x
_atom_site_fract_y
_atom_site_fract_z
Rb1 0.0000 0.0000 0.0000
Rb2 0.3333 0.6667 0.6631
Pa1 0.3333 0.6667 0.1746
In1 0.0000 0.0000 0.5000
O1 0.0000 0.5000 0.0000
O2 0.1693 0.3386 0.3317
```